This record from the Alexandria database describes a relaxed Ca3Rh crystal. The functional is GGA-PBEsol.

a b c (Å): 6.3185 7.6310 9.2965
angles (deg): 90.00 90.00 90.00
Element x y z (fractional)
Ca 0.1356 0.0410 0.7500
Ca 0.6356 0.4590 0.2500
Ca 0.3644 0.5410 0.7500
Ca 0.8644 0.9590 0.2500
Ca 0.6569 0.1684 0.9334
Ca 0.1569 0.3316 0.0666
Ca 0.8431 0.6684 0.5666
Ca 0.3431 0.8316 0.4334
Ca 0.3431 0.8316 0.0666
Ca 0.8431 0.6684 0.9334
Ca 0.1569 0.3316 0.4334
Ca 0.6569 0.1684 0.5666
Rh 0.5464 0.8756 0.7500
Rh 0.0464 0.6244 0.2500
Rh 0.9536 0.3756 0.7500
Rh 0.4537 0.1244 0.2500

Output
The formation enthalpy at 0 K is -0.276 eV per atom. Its density is 3.31 g cm⁻³. The volume is 28.0 A^3/atom. Its total moment is 0.0000 μB per atom.